Density functional theory data (PBE) for a relaxed CdHg2P crystal.

POSCAR file:
```
CdHg2P
1.0
0.000 3.535 3.535
3.535 0.000 3.535
3.535 3.535 0.000
P Hg Cd
1 2 1
Direct
0.000 0.000 0.000
0.250 0.250 0.250
0.750 0.750 0.750
0.500 0.500 0.500
```

Values from the calculation:
DOS(E_F) in states/eV/f.u.: 2.33
Excess energy over the best structure of this formula in the dataset in meV per atom: 302
Final energy in eV per atom: -1.354
Energy of formation from the pure elements in eV per atom: 0.3785
Size of the total moment in μB per formula unit: 0.000
Mass density in Mg/m³: 10.2
Space group: Fm-3m, No. 225